First-principles (SCAN) data for MnF3 at its PBEsol-relaxed geometry, as listed in Alexandria.

extended XYZ file:
```
8
Lattice="5.339 0.000 0.000 2.669 4.624 0.000 2.669 1.541 4.414" Properties=species:S:1:pos:R:3 pbc="T T T"
F 6.792 2.516 3.310
F 5.575 1.541 1.103
F 6.556 4.057 1.103
Mn 5.339 3.082 2.207
F 5.103 4.624 3.310
F 3.886 3.649 1.103
Mn 0.000 0.000 0.000
F 4.122 2.108 3.310
```

Calculated values
N(E_F): 0.1306 states/eV per atom
Energy: -80.3 eV/cell
Symmetry: No. 167
E_form (uncorrected): -2.819 eV/atom
Magnetization: 8.000 Bohr magnetons per cell

***

First-principles (SCAN) data for KTl2O at its PBEsol-relaxed geometry, as listed in Alexandria.

extended XYZ file:
```
4
Lattice="5.104 0.000 0.000 2.552 4.420 0.000 2.552 1.473 4.167" Properties=species:S:1:pos:R:3 pbc="T T T"
O 0.000 0.000 0.000
K 5.104 2.947 2.084
Tl 7.656 4.420 3.126
Tl 2.552 1.473 1.042
```

Calculated values
N(E_F): 0.3193 states/eV per atom
Energy: -159.2 eV/cell
Symmetry: No. 225
E_form (uncorrected): 0.013 eV/atom
Magnetization: 0.000 Bohr magnetons per cell

***

First-principles (SCAN) data for Cs2BeF4 at its PBEsol-relaxed geometry, as listed in Alexandria.

extended XYZ file:
```
28
Lattice="-0.456 4.960 3.486 -0.443 -4.656 6.566 10.578 0.315 0.937" Properties=species:S:1:pos:R:3 pbc="T T T"
Cs 3.875 -1.719 5.604
F 6.125 1.765 8.476
Cs 8.257 -0.762 4.816
F 4.033 0.622 7.595
Be 4.191 0.243 2.853
F 3.553 -1.147 2.514
Cs 2.948 3.747 3.006
F 6.318 -0.324 7.007
F 9.070 1.907 6.426
Be 5.487 0.376 8.136
F 0.608 -1.288 4.563
Cs 1.421 1.381 6.174
F 9.501 -2.210 7.039
Cs 5.803 2.338 5.386
F 1.202 -3.538 5.609
Cs 6.730 -3.129 7.983
F 1.010 -1.449 7.077
F 8.476 4.157 5.381
F 5.491 -0.521 9.412
Be 0.434 -2.190 5.823
F 0.177 2.829 3.951
Cs 8.859 0.107 8.959
Be 9.244 2.809 5.166
F 4.187 1.140 1.578
F 5.645 -0.003 3.395
F 3.360 0.943 3.983
F 8.668 2.067 3.913
Cs 0.819 0.511 2.030
```

Calculated values
N(E_F): 0.0000 states/eV per atom
Energy: -468.4 eV/cell
Symmetry: No. 62
E_form (uncorrected): -3.281 eV/atom
Magnetization: 0.576 Bohr magnetons per cell

***

First-principles (SCAN) data for TaRu2 at its PBEsol-relaxed geometry, as listed in Alexandria.

extended XYZ file:
```
12
Lattice="4.194 0.000 0.000 0.000 5.337 0.000 0.000 0.000 7.924" Properties=species:S:1:pos:R:3 pbc="T T T"
Ru 3.145 2.401 5.771
Ru 1.048 2.936 2.153
Ta 3.145 4.383 0.831
Ta 1.048 3.622 4.794
Ru 3.145 5.069 6.116
Ta 1.048 0.954 7.093
Ru 3.145 1.767 0.487
Ta 3.145 1.715 3.131
Ru 1.048 0.268 1.809
Ru 1.048 0.902 4.449
Ru 3.145 4.435 3.475
Ru 1.048 3.570 7.437
```

Calculated values
N(E_F): 0.6434 states/eV per atom
Energy: -549.2 eV/cell
Symmetry: No. 62
Magnetization: 0.000 Bohr magnetons per cell

***

First-principles (SCAN) data for Mg2AlW at its PBEsol-relaxed geometry, as listed in Alexandria.

extended XYZ file:
```
4
Lattice="2.994 0.000 0.000 0.000 4.823 0.000 -1.497 -2.411 4.783" Properties=species:S:1:pos:R:3 pbc="T T T"
Al 0.000 2.411 2.283
Mg 1.497 2.411 4.707
Mg 1.497 0.000 2.471
W 1.497 2.411 0.105
```

Calculated values
N(E_F): 0.5998 states/eV per atom
Energy: -85.9 eV/cell
Symmetry: No. 44
Magnetization: 0.000 Bohr magnetons per cell

***

First-principles (SCAN) data for Y2TcIr at its PBEsol-relaxed geometry, as listed in Alexandria.

extended XYZ file:
```
4
Lattice="4.708 0.000 0.000 2.354 4.077 0.000 2.354 1.359 3.844" Properties=species:S:1:pos:R:3 pbc="T T T"
Ir 4.708 2.718 1.922
Y 2.354 1.359 0.961
Tc 7.062 4.077 2.883
Y 0.000 0.000 0.000
```

Calculated values
N(E_F): 0.9680 states/eV per atom
Energy: -161.9 eV/cell
Symmetry: No. 216
Magnetization: 0.000 Bohr magnetons per cell

***

First-principles (SCAN) data for RuCO2F at its PBEsol-relaxed geometry, as listed in Alexandria.

extended XYZ file:
```
5
Lattice="-1.927 -2.853 0.685 2.037 -0.710 2.770 -2.219 2.014 2.148" Properties=species:S:1:pos:R:3 pbc="T T T"
C 0.000 0.000 0.000
O -0.963 -1.427 0.343
F -1.110 1.007 1.074
Ru -1.055 -0.775 2.802
O 1.018 -0.355 1.385
```

Calculated values
N(E_F): 0.4323 states/eV per atom
Energy: -56.8 eV/cell
Symmetry: No. 123
E_form (uncorrected): 0.829 eV/atom
Magnetization: 4.148 Bohr magnetons per cell

***

First-principles (SCAN) data for InTcSnTe2 at its PBEsol-relaxed geometry, as listed in Alexandria.

extended XYZ file:
```
5
Lattice="5.127 0.000 0.000 0.000 5.221 0.000 0.000 0.000 5.221" Properties=species:S:1:pos:R:3 pbc="T T T"
Te 0.000 2.610 0.000
Tc 0.000 0.000 0.000
Te 0.000 0.000 2.610
Sn 2.564 0.000 0.000
In 2.564 2.610 2.610
```

Calculated values
N(E_F): 0.8497 states/eV per atom
Energy: -177.0 eV/cell
Symmetry: No. 123
E_form (uncorrected): 0.376 eV/atom
Magnetization: 0.001 Bohr magnetons per cell

***

What did the sixth record say?
First-principles (SCAN) data for Y2TcIr at its PBEsol-relaxed geometry, as listed in Alexandria.

extended XYZ file:
```
4
Lattice="4.708 0.000 0.000 2.354 4.077 0.000 2.354 1.359 3.844" Properties=species:S:1:pos:R:3 pbc="T T T"
Ir 4.708 2.718 1.922
Y 2.354 1.359 0.961
Tc 7.062 4.077 2.883
Y 0.000 0.000 0.000
```

Calculated values
N(E_F): 0.9680 states/eV per atom
Energy: -161.9 eV/cell
Symmetry: No. 216
Magnetization: 0.000 Bohr magnetons per cell